1.
Compound: Tb7Pm2Sc2
Source: Alexandria via LeMat-Bulk
Functional: PBE-GGA
Structure: optimized geometry

Unit cell a=10.2140 b=10.2140 c=3.5697 alpha=94.76 beta=94.76 gamma=101.57
Closest atoms and distances in Å follow each position.
Positions (direct):
Tb 0.0000 0.0000 0.0000  4 Tb 3.09-3.37, 4 Pm 3.32
Tb 0.1748 0.5250 0.8423  1 Sc 3.17, 1 Pm 3.37, 1 Tb 3.42
Tb 0.2097 0.2097 0.5284  1 Sc 2.92, 1 Tb 3.09
Tb 0.4750 0.8252 0.1577  1 Sc 3.17, 1 Pm 3.37, 1 Tb 3.42
Tb 0.5250 0.1748 0.8423  1 Sc 3.17, 1 Pm 3.37, 1 Tb 3.42
Tb 0.7903 0.7903 0.4716  1 Sc 2.92, 1 Tb 3.09
Tb 0.8252 0.4750 0.1577  1 Sc 3.17, 1 Pm 3.37, 1 Tb 3.42
Pm 0.1767 0.8233 0.5000  6 Tb 3.32-3.68, 2 Pm 3.57
Pm 0.8233 0.1767 0.5000  6 Tb 3.32-3.68, 2 Pm 3.57
Sc 0.4111 0.4111 0.2404  2 Sc 2.76-3.04, 1 Tb 2.92
Sc 0.5889 0.5889 0.7596  2 Sc 2.76-3.04, 1 Tb 2.92

## Properties
Total moment ... 0.00 μB/atom
Electronic total energy ... -50.75 eV/cell
Energy relative to the lowest polymorph listed for this composition ... 1.966 eV per formula unit



2.
Compound: Tb2Pm4Sc
Source: Alexandria via LeMat-Bulk
Functional: PBE-GGA
Structure: optimized geometry

Unit cell a=6.1831 b=6.1831 c=15.4628 alpha=90.00 beta=90.00 gamma=129.00
Closest atoms and distances in Å follow each position.
Positions (direct):
Tb 0.1128 0.8872 0.8447  7 Pm 3.28-3.64
Tb 0.3872 0.6128 0.3447  7 Pm 3.28-3.64
Tb 0.6128 0.3872 0.6553  7 Pm 3.28-3.64
Tb 0.8872 0.1128 0.1553  7 Pm 3.28-3.64
Pm 0.0888 0.9112 0.3092  1 Sc 3.11, 4 Pm 3.23-3.48, 2 Tb 3.28-3.38
Pm 0.1996 0.8004 0.0699  4 Pm 3.48-3.61, 3 Sc 3.52-3.64, 4 Tb 3.61-3.73
Pm 0.3004 0.6996 0.5699  4 Pm 3.48-3.61, 3 Sc 3.52-3.64, 4 Tb 3.61-3.73
Pm 0.4112 0.5888 0.8092  1 Sc 3.11, 4 Pm 3.23-3.48, 2 Tb 3.28-3.38
Pm 0.5888 0.4112 0.1908  1 Sc 3.11, 4 Pm 3.23-3.48, 2 Tb 3.28-3.38
Pm 0.6996 0.3004 0.4301  4 Pm 3.48-3.61, 3 Sc 3.52-3.64, 4 Tb 3.61-3.73
Pm 0.8004 0.1996 0.9301  4 Pm 3.48-3.61, 3 Sc 3.52-3.64, 4 Tb 3.61-3.73
Pm 0.9112 0.0888 0.6908  1 Sc 3.11, 4 Pm 3.23-3.48, 2 Tb 3.28-3.38
Sc 0.0000 0.0000 0.5000  2 Pm 3.11
Sc 0.5000 0.5000 0.0000  2 Pm 3.11

## Properties
Total moment ... 0.00 μB/atom
Electronic total energy ... -66.79 eV/cell
Energy relative to the lowest polymorph listed for this composition ... 0.000 eV per formula unit



3.
Compound: Tb6Pm5Sc
Source: Alexandria via LeMat-Bulk
Functional: PBE-GGA
Structure: optimized geometry

Unit cell a=9.4564 b=9.4564 c=9.4564 alpha=148.98 beta=115.41 gamma=73.38
Closest atoms and distances in Å follow each position.
Positions (direct):
Tb 0.0818 0.3348 0.7469  1 Sc 3.54, 7 Pm 3.55-3.64, 4 Tb 3.56-3.61
Tb 0.2451 0.0000 0.2451  6 Pm 3.51-3.61, 2 Sc 3.54, 4 Tb 3.56
Tb 0.4121 0.6652 0.7469  1 Sc 3.54, 7 Pm 3.55-3.64, 4 Tb 3.56-3.61
Tb 0.5879 0.3348 0.2531  1 Sc 3.54, 7 Pm 3.55-3.64, 4 Tb 3.56-3.61
Tb 0.7549 0.0000 0.7549  6 Pm 3.51-3.61, 2 Sc 3.54, 4 Tb 3.56
Tb 0.9182 0.6652 0.2531  1 Sc 3.54, 7 Pm 3.55-3.64, 4 Tb 3.56-3.61
Pm 0.1640 0.1640 0.0000  8 Tb 3.51-3.64, 2 Sc 3.55, 2 Pm 3.61
Pm 0.3337 0.8337 0.5000  4 Pm 3.57-3.61, 8 Tb 3.57-3.61
Pm 0.5000 0.5000 0.0000  4 Pm 3.57, 8 Tb 3.58-3.61
Pm 0.6663 0.1663 0.5000  4 Pm 3.57-3.61, 8 Tb 3.57-3.61
Pm 0.8360 0.8360 0.0000  8 Tb 3.51-3.64, 2 Sc 3.55, 2 Pm 3.61
Sc 0.0000 0.5000 0.5000  8 Tb 3.54, 4 Pm 3.55

## Properties
Total moment ... 0.00 μB/atom
Electronic total energy ... -57.53 eV/cell



4.
Compound: Tb4Pm3Sc
Source: Alexandria via LeMat-Bulk
Functional: PBE-GGA
Structure: optimized geometry

Unit cell a=9.0839 b=9.0839 c=9.0839 alpha=122.91 beta=122.91 gamma=85.03
Closest atoms and distances in Å follow each position.
Positions (direct):
Tb 0.0097 0.5097 0.1957  5 Pm 3.29-3.50, 3 Tb 3.37-3.54
Tb 0.1859 0.9903 0.5000  5 Pm 3.29-3.50, 3 Tb 3.37-3.54
Tb 0.3141 0.8141 0.8043  5 Pm 3.29-3.50, 3 Tb 3.37-3.54
Tb 0.4903 0.6859 0.5000  5 Pm 3.29-3.50, 3 Tb 3.37-3.54
Tb 0.5097 0.3141 0.5000  5 Pm 3.29-3.50, 3 Tb 3.37-3.54
Tb 0.6859 0.1859 0.1957  5 Pm 3.29-3.50, 3 Tb 3.37-3.54
Tb 0.8141 0.0097 0.5000  5 Pm 3.29-3.50, 3 Tb 3.37-3.54
Tb 0.9903 0.4903 0.8043  5 Pm 3.29-3.50, 3 Tb 3.37-3.54
Pm 0.1463 0.3537 0.5000  6 Tb 3.29-3.38, 2 Sc 3.32, 1 Pm 3.59
Pm 0.2500 0.2500 0.0000  2 Sc 3.35, 8 Tb 3.50
Pm 0.3537 0.8537 0.2073  6 Tb 3.29-3.38, 2 Sc 3.32, 1 Pm 3.59
Pm 0.6463 0.1463 0.7927  6 Tb 3.29-3.38, 2 Sc 3.32, 1 Pm 3.59
Pm 0.7500 0.7500 0.0000  2 Sc 3.35, 8 Tb 3.50
Pm 0.8537 0.6463 0.5000  6 Tb 3.29-3.38, 2 Sc 3.32, 1 Pm 3.59
Sc 0.0000 0.0000 0.0000  6 Pm 3.32-3.35
Sc 0.5000 0.5000 0.0000  6 Pm 3.32-3.35

## Properties
Total moment ... 0.00 μB/atom
Electronic total energy ... -76.96 eV/cell
Energy relative to the lowest polymorph listed for this composition ... 0.365 eV per formula unit



5.
Compound: TbPm8Sc3
Source: Alexandria via LeMat-Bulk
Functional: PBE-GGA
Structure: optimized geometry

Unit cell a=8.4370 b=8.4370 c=8.4370 alpha=120.04 beta=120.04 gamma=89.93
Closest atoms and distances in Å follow each position.
Positions (direct):
Tb 0.0000 0.0000 0.0000  4 Pm 3.18
Pm 0.1319 0.4090 0.0000  3 Pm 3.14-3.41, 3 Sc 3.20-3.27
Pm 0.2245 0.2245 0.5274  1 Sc 2.86, 1 Pm 3.14, 1 Tb 3.18
Pm 0.3029 0.7755 0.0000  1 Sc 2.86, 1 Pm 3.14, 1 Tb 3.18
Pm 0.4090 0.1319 0.0000  3 Pm 3.14-3.41, 3 Sc 3.20-3.27
Pm 0.5910 0.5910 0.7229  3 Pm 3.14-3.41, 3 Sc 3.20-3.27
Pm 0.6971 0.6971 0.4726  1 Sc 2.86, 1 Pm 3.14, 1 Tb 3.18
Pm 0.7755 0.3029 0.0000  1 Sc 2.86, 1 Pm 3.14, 1 Tb 3.18
Pm 0.8681 0.8681 0.2771  3 Pm 3.14-3.41, 3 Sc 3.20-3.27
Sc 0.2500 0.7500 0.5000  4 Pm 3.27
Sc 0.5000 0.5000 0.0000  4 Pm 2.86
Sc 0.7500 0.2500 0.5000  4 Pm 3.27

## Properties
Total moment ... 0.00 μB/atom
Electronic total energy ... -54.32 eV/cell



6.
Compound: Tb2Pm4Sc
Source: Alexandria via LeMat-Bulk
Functional: PBE-GGA
Structure: optimized geometry

Unit cell a=6.1028 b=12.9024 c=5.9305 alpha=90.00 beta=90.00 gamma=90.00
Closest atoms and distances in Å follow each position.
Positions (direct):
Tb 0.0000 0.1101 0.0000  1 Tb 2.84, 4 Pm 3.07-3.13
Tb 0.0000 0.8899 0.0000  1 Tb 2.84, 4 Pm 3.07-3.13
Tb 0.5000 0.3899 0.0000  1 Tb 2.84, 4 Pm 3.07-3.13
Tb 0.5000 0.6101 0.0000  1 Tb 2.84, 4 Pm 3.07-3.13
Pm 0.0000 0.1873 0.5000  2 Tb 3.13, 2 Pm 3.45
Pm 0.0000 0.3633 0.0000  3 Tb 3.07-3.27
Pm 0.0000 0.6367 0.0000  3 Tb 3.07-3.27
Pm 0.0000 0.8127 0.5000  2 Tb 3.13, 2 Pm 3.45
Pm 0.5000 0.1367 0.0000  3 Tb 3.07-3.27
Pm 0.5000 0.3127 0.5000  2 Tb 3.13, 2 Pm 3.45
Pm 0.5000 0.6873 0.5000  2 Tb 3.13, 2 Pm 3.45
Pm 0.5000 0.8633 0.0000  3 Tb 3.07-3.27
Sc 0.0000 0.5000 0.5000  4 Pm 3.45
Sc 0.5000 0.0000 0.5000  4 Pm 3.45

## Properties
Total moment ... 0.00 μB/atom
Electronic total energy ... -61.95 eV/cell
Energy relative to the lowest polymorph listed for this composition ... 2.423 eV per formula unit



Number 1: ΔH_f (0 K) 0.348 eV/atom, V 32.88 Å³/atom. Number 2: ΔH_f (0 K) 0.171 eV/atom, V 32.82 Å³/atom. Number 3: ΔH_f (0 K) 0.028 eV/atom, V 32.29 Å³/atom. Number 4: ΔH_f (0 K) 0.078 eV/atom, V 31.54 Å³/atom. Number 5: ΔH_f (0 K) 0.609 eV/atom, V 35.37 Å³/atom. Number 6: ΔH_f (0 K) 0.517 eV/atom, V 33.36 Å³/atom.